(1)
Here is crystalline SrAl3I12 at its relaxed geometry from Alexandria via LeMat-Bulk. Energies are from PBE.

Structure (POSCAR):
```
SrAl3I12
1.0
-10.643 7.946 4.025
-12.830 -2.787 -4.497
-9.851 -6.507 10.724
Sr Al I
2 6 24
direct
0.010 0.010 0.970
0.510 0.510 0.470
0.774 0.337 0.990
0.274 0.399 0.490
0.837 0.274 0.490
0.337 0.899 0.990
0.899 0.774 0.990
0.399 0.837 0.490
0.143 0.014 0.098
0.307 0.191 0.592
0.980 0.103 0.421
0.961 0.286 0.848
0.461 0.406 0.348
0.480 0.995 0.921
0.807 0.410 0.092
0.103 0.495 0.421
0.643 0.245 0.598
0.910 0.307 0.592
0.786 0.461 0.348
0.245 0.514 0.598
0.995 0.603 0.921
0.745 0.143 0.098
0.286 0.906 0.848
0.410 0.691 0.092
0.691 0.807 0.092
0.603 0.480 0.921
0.514 0.643 0.598
0.906 0.961 0.848
0.406 0.786 0.348
0.014 0.745 0.098
0.191 0.910 0.592
0.495 0.980 0.421
```

Summary:
The calculation puts the uncorrected formation energy at -0.783 eV per atom.

---

(2)
Here is crystalline SrAlI2 at its relaxed geometry from Alexandria via LeMat-Bulk. Energies are from PBE.

Structure (POSCAR):
```
SrAlI2
1.0
-5.055 -2.672 -0.941
2.758 -5.080 -0.391
-2.290 -5.275 9.443
I Sr Al
4 2 2
direct
0.622 0.125 0.250
0.128 0.625 0.250
0.375 0.378 0.750
0.875 0.872 0.750
0.000 0.000 0.000
0.750 0.250 0.500
0.500 0.500 0.000
0.250 0.750 0.500
```

Summary:
The calculation puts the energy relative to the lowest polymorph listed for this composition at 0.101 eV per atom. The calculation puts the uncorrected formation energy at -0.497 eV per atom.